! Rb3CoF7, optimized geometry, DFT GGA+U; values from VASP
! - total energy (eV per atom) = -4.2352
&SYSTEM
  ibrav = 0, nat = 11, ntyp = 3
/
ATOMIC_SPECIES
Rb 85.47 Rb.upf
Co 58.93 Co.upf
F 19.00 F.upf
ATOMIC_POSITIONS crystal
Rb 0.000 0.000 0.000
Rb 0.001 0.500 0.489
Rb 0.500 0.001 0.489
Co 0.504 0.504 0.987
F 0.000 0.000 0.472
F 0.221 0.535 0.860
F 0.358 0.358 0.203
F 0.473 0.787 0.114
F 0.535 0.221 0.860
F 0.650 0.650 0.772
F 0.787 0.473 0.114
CELL_PARAMETERS angstrom
3.933 -4.066 0.000
3.933 4.066 0.000
-0.035 0.000 6.495